## one
The following is a DFT calculation (PBE) of Ta3NbV after structural relaxation.

Cell and atoms, written as POSCAR:
```
Ta3NbV
1.0
4.631 0.000 0.000
0.000 4.631 0.000
0.000 0.000 4.631
Ta Nb V
3 1 1
direct
0.000 0.000 0.500 Ta
0.000 0.500 0.000 Ta
0.500 0.000 0.000 Ta
0.500 0.500 0.500 Nb
0.000 0.000 0.000 V
```

Values from the calculation:
The spin magnetization is 0.00 μB/f.u. The volume comes out at 99.3 Å³ per cell.

---

## two
The following is a DFT calculation (PBE) of Ta3NbV after structural relaxation.

Cell and atoms, written as POSCAR:
```
Ta3NbV
1.0
6.105 0.000 0.000
-3.052 5.287 0.000
0.000 0.000 5.829
Ta Nb V
6 2 2
direct
0.041 0.275 0.250 Ta
0.041 0.766 0.750 Ta
0.234 0.275 0.750 Ta
0.234 0.959 0.250 Ta
0.725 0.766 0.250 Ta
0.725 0.959 0.750 Ta
0.667 0.333 0.000 Nb
0.667 0.333 0.500 Nb
0.333 0.667 0.000 V
0.333 0.667 0.500 V
```

Values from the calculation:
The spin magnetization is 0.00 μB/f.u. The volume comes out at 188.1 Å³ per cell.

---

Which is less stable than every other structure shown? one is.